Entry 1:
Entry from Alexandria: a relaxed structure of SrNbNiAu2 (GGA-PBEsol).

The calculation puts the formation energy at 0.195 eV per atom. The value obtained for the total energy is -5.14 eV/atom. The volume is 21.5 Å³/atom.

The space group is P4/mmm (No. 123) and the conventional cell measures 4.919, 4.919 and 4.433 Å, with angles of 90.00, 90.00 and 90.00 degrees. The distinct sites, in fractional coordinates, are Sr at (0.000, 0.000, 0.000), Nb at (0.500, 0.500, 0.000), Ni at (0.500, 0.500, 0.500) and Au at (0.000, 0.500, 0.500).


Entry 2:
Entry from Alexandria: a relaxed structure of Nb3AuO (GGA-PBEsol).

The value obtained for the total energy is -6.24 eV/atom. The calculation puts the formation energy from raw total energies at 2091.6 meV per atom. The volume is 23.5 Å³/atom.

The space group is Pm-3m (No. 221) and the conventional cell measures 4.897, 4.897 and 4.897 Å, with angles of 90.00, 90.00 and 90.00 degrees. The distinct sites, in fractional coordinates, are Nb at (0.000, 0.000, 0.500), Au at (0.000, 0.000, 0.000) and O at (0.500, 0.500, 0.500).


Entry 3:
Entry from Alexandria: a relaxed structure of NbAu3O (GGA-PBEsol).

The value obtained for the total energy is -4.86 eV/atom. The calculation puts the formation energy from raw total energies at 712.6 meV per atom. The volume is 16.8 Å³/atom.

The space group is Pm-3m (No. 221) and the conventional cell measures 4.377, 4.377 and 4.377 Å, with angles of 90.00, 90.00 and 90.00 degrees. The distinct sites, in fractional coordinates, are Nb at (0.000, 0.000, 0.000), Au at (0.000, 0.500, 0.500) and O at (0.500, 0.500, 0.500).


Entry 4:
Entry from Alexandria: a relaxed structure of Nb2SiAuO (GGA-PBEsol).

The value obtained for the total energy is -7.58 eV/atom. The calculation puts the formation energy from raw total energies at -264.1 meV per atom. The volume is 15.5 Å³/atom.

The space group is P4/mmm (No. 123) and the conventional cell measures 4.087, 4.087 and 4.636 Å, with angles of 90.00, 90.00 and 90.00 degrees. The distinct sites, in fractional coordinates, are Nb at (0.000, 0.500, 0.000), Si at (0.000, 0.000, 0.500), Au at (0.500, 0.500, 0.500) and O at (0.500, 0.500, 0.000).


Entry 5:
Entry from Alexandria: a relaxed structure of NbOs2Au (GGA-PBEsol).

The calculation puts the formation energy at 0.353 eV per atom. The value obtained for the total energy is -9.44 eV/atom. The volume is 15.6 Å³/atom.

The space group is Fm-3m (No. 225) and the conventional cell measures 6.295, 6.295 and 6.295 Å, with angles of 90.00, 90.00 and 90.00 degrees. The distinct sites, in fractional coordinates, are Nb at (0.000, 0.000, 0.000), Os at (0.250, 0.250, 0.250) and Au at (0.000, 0.000, 0.500).


Entry 6:
Entry from Alexandria: a relaxed structure of Nb6OsAu (GGA-PBEsol).

The calculation puts the formation energy at -0.193 eV per atom. The value obtained for the total energy is -10.33 eV/atom. The volume is 17.1 Å³/atom.

The space group is Pm-3 (No. 200) and the conventional cell measures 5.152, 5.152 and 5.152 Å, with angles of 90.00, 90.00 and 90.00 degrees. The distinct sites, in fractional coordinates, are Nb at (0.000, 0.255, 0.500), Os at (0.500, 0.500, 0.500) and Au at (0.000, 0.000, 0.000).